A relaxed structure of Al2CdGe. Source: the Alexandria database, functional GGA-PBE.

Geometry as extended XYZ:
```
16
Lattice="7.741 0.000 0.000 0.000 7.741 0.000 0.000 0.000 5.553" Properties=species:S:1:pos:R:3 pbc="T T T"
Al 1.575 1.935 0.694
Al 1.935 5.445 2.082
Al 1.935 6.166 4.859
Al 2.295 1.935 3.471
Al 5.445 5.805 3.471
Al 5.805 1.575 4.859
Al 5.805 2.295 2.082
Al 6.166 5.805 0.694
Cd 0.000 0.000 2.777
Cd 0.000 3.870 4.165
Cd 3.870 0.000 1.388
Cd 3.870 3.870 0.000
Ge 0.000 0.000 0.000
Ge 0.000 3.870 1.388
Ge 3.870 0.000 4.165
Ge 3.870 3.870 2.777
```

Calculated values
- DOS at the Fermi energy (states/eV/f.u.) = 2.1
- M_tot (Bohr magnetons per cell) = 0.0
- symmetry = No. 122
- total DFT energy (no corrections) (eV per atom) = -3.0268
- ΔE_f (eV/atom) = 0.23
- excess energy over the best structure of this formula in the dataset (eV/atom) = 0.045

A relaxed structure of AlCd3Ge. Source: the Alexandria database, functional GGA-PBE.

Geometry as extended XYZ:
```
5
Lattice="5.244 0.000 0.000 0.000 5.244 0.000 0.000 0.000 5.244" Properties=species:S:1:pos:R:3 pbc="T T T"
Al 0.000 0.000 0.000
Cd 0.000 2.622 2.622
Cd 2.622 0.000 2.622
Cd 2.622 2.622 0.000
Ge 2.622 2.622 2.622
```

Calculated values
- DOS at the Fermi energy (states/eV/f.u.) = 3.6
- M_tot (Bohr magnetons per cell) = 0.0
- symmetry = No. 221
- total DFT energy (no corrections) (eV per atom) = -1.6935
- ΔE_f (eV/atom) = 0.53
- excess energy over the best structure of this formula in the dataset (eV/atom) = 0.000

A relaxed structure of Al2CdGe. Source: the Alexandria database, functional GGA-PBE.

Geometry as extended XYZ:
```
12
Lattice="4.090 0.000 0.000 -2.045 3.542 0.000 0.000 0.000 17.669" Properties=species:S:1:pos:R:3 pbc="T T T"
Al 0.000 0.000 0.000
Al 0.000 0.000 3.442
Al 0.000 2.361 11.780
Al 0.000 2.361 15.221
Al 2.045 1.181 5.890
Al 2.045 1.181 9.332
Cd 0.000 0.000 13.555
Cd 0.000 2.361 7.665
Cd 2.045 1.181 1.775
Ge 0.000 0.000 10.593
Ge 0.000 2.361 4.704
Ge 2.045 1.181 16.483
```

Calculated values
- DOS at the Fermi energy (states/eV/f.u.) = 1.5
- M_tot (Bohr magnetons per cell) = 0.0
- symmetry = No. 160
- total DFT energy (no corrections) (eV per atom) = -3.0662
- ΔE_f (eV/atom) = 0.19
- excess energy over the best structure of this formula in the dataset (eV/atom) = 0.006